No. 1
The following is a PBE calculation of an optimized crystal structure of LaPr2Mg, from Alexandria.

Output
- Polymorph energy (0 for the lowest one): 10.7 kJ/mol of atoms
- Formation enthalpy at 0 K: 6.29 kJ per mole of atoms

a = 8.1074 Å, b = 8.1074 Å, c = 8.1074 Å
α = 90.00°, β = 90.00°, γ = 90.00°
Last column: nearest neighbours and their distance in Å.
Space group Fm-3m (No. 225)
Asymmetric unit:
La  0.0000  0.0000  0.0000  8 Pr 3.51
Pr  0.2500  0.2500  0.2500  4 La 3.51, 4 Mg 3.51
Mg  0.0000  0.0000  0.5000  8 Pr 3.51

No. 2
The following is a PBE calculation of an optimized crystal structure of ZrTiCuB2, from Alexandria.

Output
- Formation enthalpy at 0 K: 134.83 kJ per mole of atoms

a = 4.2905 Å, b = 4.2905 Å, c = 4.6606 Å
α = 90.00°, β = 90.00°, γ = 90.00°
Last column: nearest neighbours and their distance in Å.
Space group P4/mmm (No. 123)
Asymmetric unit:
Zr  0.0000  0.0000  0.0000  4 B 2.15, 2 Cu 2.33
Ti  0.5000  0.5000  0.5000  4 Cu 3.03, 8 B 3.17
Cu  0.0000  0.0000  0.5000  2 Zr 2.33
B  0.0000  0.5000  0.0000  2 Zr 2.15

No. 3
The following is a PBE calculation of an optimized crystal structure of Ca2Ce4As3N2, from Alexandria.

Output
- Energy relative to the elements, uncorrected: -13.474 eV/f.u.

a = 4.6649 Å, b = 4.6649 Å, c = 24.0425 Å
α = 90.00°, β = 90.00°, γ = 90.00°
Last column: nearest neighbours and their distance in Å.
Space group I4/mmm (No. 139)
Asymmetric unit:
Ca  0.0000  0.0000  0.2006  1 N 2.39
Ce  0.0000  0.5000  0.0835  2 N 2.37
As  0.0000  0.0000  0.3252  5 Ca 3.00-3.36, 4 Ce 3.20
As  0.0000  0.0000  0.5000  8 Ce 3.08
N  0.0000  0.0000  0.1010  4 Ce 2.37, 1 Ca 2.39

No. 4
The following is a PBE calculation of an optimized crystal structure of LaPr14Nd, from Alexandria.

Output
- Formation enthalpy at 0 K: 1.05 kJ per mole of atoms

a = 10.5405 Å, b = 10.4874 Å, c = 10.4968 Å
α = 90.00°, β = 90.00°, γ = 90.00°
Last column: nearest neighbours and their distance in Å.
Space group Amm2 (No. 38)
Asymmetric unit:
La  0.0000  0.0000  0.0000  12 Pr 3.71-3.73
Pr  0.0000  0.2494  0.2506  2 Nd 3.71, 2 La 3.71, 8 Pr 3.71-3.72
Pr  0.2501  0.0000  0.2510  10 Pr 3.70-3.72, 1 Nd 3.72, 1 La 3.73
Pr  0.2501  0.0000  0.7500  10 Pr 3.70-3.73, 1 Nd 3.71, 1 La 3.72
Pr  0.2501  0.2504  0.0005  10 Pr 3.70-3.72, 1 Nd 3.71, 1 La 3.72
Pr  0.5000  0.0000  0.0011  12 Pr 3.71-3.73
Pr  0.5000  0.0000  0.5002  12 Pr 3.71-3.72
Pr  0.5000  0.2495  0.7506  12 Pr 3.71-3.72
Nd  0.0000  0.0000  0.5011  12 Pr 3.71-3.72

No. 5
The following is a PBE calculation of an optimized crystal structure of Cs2TlBiO, from Alexandria.

Output
- Energy relative to the elements, uncorrected: -2.249 eV/f.u.

a = 6.1804 Å, b = 6.1804 Å, c = 4.7713 Å
α = 90.00°, β = 90.00°, γ = 90.00°
Last column: nearest neighbours and their distance in Å.
Space group P4/mmm (No. 123)
Asymmetric unit:
Cs  0.0000  0.5000  0.0000  2 O 3.09
Tl  0.0000  0.0000  0.5000  8 Cs 3.90, 4 Bi 4.37
Bi  0.5000  0.5000  0.5000  2 O 2.39
O  0.5000  0.5000  0.0000  2 Bi 2.39

No. 6
The following is a PBE calculation of an optimized crystal structure of CsHg2AuCl, from Alexandria.

Output
- Energy relative to the elements, uncorrected: -0.900 eV/f.u.

a = 6.4898 Å, b = 6.4898 Å, c = 5.1346 Å
α = 90.00°, β = 90.00°, γ = 90.00°
Last column: nearest neighbours and their distance in Å.
Space group P4/mmm (No. 123)
Asymmetric unit:
Cs  0.0000  0.0000  0.0000  8 Hg 4.14, 4 Au 4.59
Hg  0.0000  0.5000  0.5000  2 Cl 3.24
Au  0.5000  0.5000  0.0000  2 Cl 2.57
Cl  0.5000  0.5000  0.5000  2 Au 2.57

No. 7
The following is a PBE calculation of an optimized crystal structure of GeIrPbO5, from Alexandria.

Output
- Energy relative to the elements, uncorrected: -9.147 eV/f.u.

a = 6.9848 Å, b = 9.3513 Å, c = 7.3267 Å
α = 90.00°, β = 115.30°, γ = 90.00°
Last column: nearest neighbours and their distance in Å.
Space group C2/c (No. 15)
Asymmetric unit:
Ge  0.0000  0.1909  0.2500  4 O 1.79-1.80
Ir  0.0000  0.5000  0.0000  6 O 1.95-2.08
Pb  0.0000  0.1674  0.7500  7 O 2.44-2.67
O  0.0000  0.4288  0.7500  2 Ir 1.95
O  0.1017  0.2955  0.1056  1 Ge 1.80
O  0.1941  0.0726  0.4248  1 Ge 1.79

No. 8
The following is a PBE calculation of an optimized crystal structure of YMgSb2Te, from Alexandria.

Output
- Polymorph energy (0 for the lowest one): 0.0 kJ/mol of atoms
- Energy relative to the elements, uncorrected: 0.267 eV/f.u.

a = 5.3011 Å, b = 5.3011 Å, c = 5.5040 Å
α = 90.00°, β = 90.00°, γ = 90.00°
Last column: nearest neighbours and their distance in Å.
Space group P4/mmm (No. 123)
Asymmetric unit:
Y  0.0000  0.0000  0.0000  4 Te 3.75, 8 Sb 3.82
Mg  0.5000  0.5000  0.5000  4 Sb 2.65, 2 Te 2.75
Sb  0.0000  0.5000  0.5000  2 Mg 2.65
Te  0.5000  0.5000  0.0000  2 Mg 2.75

No. 9
The following is a PBE calculation of an optimized crystal structure of MgCrHg3, from Alexandria.

Output
- Polymorph energy (0 for the lowest one): 0.0 kJ/mol of atoms
- Formation enthalpy at 0 K: 44.20 kJ per mole of atoms

a = 5.3022 Å, b = 5.3022 Å, c = 5.3022 Å
α = 90.00°, β = 90.00°, γ = 90.00°
Last column: nearest neighbours and their distance in Å.
Space group Pm-3m (No. 221)
Asymmetric unit:
Mg  0.0000  0.0000  0.0000  12 Hg 3.75
Cr  0.5000  0.5000  0.5000  6 Hg 2.65
Hg  0.0000  0.5000  0.5000  2 Cr 2.65

No. 10
The following is a PBE calculation of an optimized crystal structure of NaTl6In4, from Alexandria.

Output
- Formation enthalpy at 0 K: 3.44 kJ per mole of atoms

a = 6.2219 Å, b = 6.2219 Å, c = 17.1264 Å
α = 90.00°, β = 90.00°, γ = 90.00°
Last column: nearest neighbours and their distance in Å.
Space group I-42m (No. 121)
Asymmetric unit:
Na  0.0000  0.0000  0.0000  4 Tl 3.11
Tl  0.0000  0.5000  0.0000  2 Na 3.11, 4 In 3.17
Tl  0.1939  0.1939  0.1842  5 In 3.20-3.39, 1 Tl 3.41
In  0.1844  0.1844  0.3708  7 Tl 3.17-3.39, 1 In 3.24, 1 Na 3.55

No. 11
The following is a PBE calculation of an optimized crystal structure of TcP2Se, from Alexandria.

Output
- Energy relative to the elements, uncorrected: 0.157 eV/f.u.

a = 4.2497 Å, b = 4.6169 Å, c = 6.8379 Å
α = 90.00°, β = 90.00°, γ = 90.00°
Last column: nearest neighbours and their distance in Å.
Space group Amm2 (No. 38)
Asymmetric unit:
Tc  0.0000  0.0000  0.0000  5 P 2.45-2.52, 2 Se 2.60
P  0.0000  0.0000  0.3684  3 Tc 2.48-2.52, 2 P 2.49
P  0.5000  0.0000  0.1781  2 Se 2.41, 2 Tc 2.45, 2 P 2.49
Se  0.5000  0.0000  0.7814  2 P 2.41, 2 Tc 2.60

No. 12
The following is a PBE calculation of an optimized crystal structure of Tm5Te4P, from Alexandria.

Output
- Polymorph energy (0 for the lowest one): 0.0 kJ/mol of atoms
- Energy relative to the elements, uncorrected: -13.035 eV/f.u.

a = 9.5198 Å, b = 9.5198 Å, c = 5.9457 Å
α = 90.00°, β = 90.00°, γ = 90.00°
Last column: nearest neighbours and their distance in Å.
Space group I4/m (No. 87)
Asymmetric unit:
Tm  0.0000  0.0000  0.0000  2 P 2.97, 4 Te 3.06
Tm  0.0954  0.2616  0.5000  1 P 2.65
Te  0.0891  0.3091  0.0000  6 Tm 3.01-3.25
P  0.0000  0.0000  0.5000  4 Tm 2.65

Ρ across the listed records, respectively: 5547, 4340, 5671, 6457, 6334, 5886, 8475, 5200, 7554, 8558, 5914, 8543 kg/m³.
Total magnetization across the listed records, respectively: 0.0, 0.0, 2.5, 0.0, 0.0, 0.0, 0.4, 0.0, 4.5, 0.0, 0.0, 0.0 μB per formula unit.